Entry 1:
First-principles (PBE-GGA) data for Ac2Sn3GeIr4 after structural relaxation, as listed in Alexandria via LeMat-Bulk.

Output
DFT formation energy: -0.594 eV/atom
Total energy: -6.623 eV/atom
DOS at the Fermi energy: 5.7 states/eV/f.u.

Cell lengths 4.540, 4.540, 10.852 Å; angles 90.00, 90.00, 90.00 degrees
Space group P-4m2 (No. 115)
Asymmetric unit:
Ac1 0.000 0.500 0.244 x2
Sn1 0.000 0.000 0.000 x1
Sn2 0.000 0.500 0.631 x2
Ge1 0.500 0.500 0.000 x1
Ir1 0.000 0.000 0.500 x1
Ir2 0.000 0.500 0.877 x2
Ir3 0.500 0.500 0.500 x1

Entry 2:
First-principles (PBE-GGA) data for Dy4Tm5Zr after structural relaxation, as listed in Alexandria via LeMat-Bulk.

Output
DFT formation energy: 0.039 eV/atom
Energy above the lowest structure with this stoichiometry: 0.0000 eV/atom
Total energy: -4.892 eV/atom
DOS at the Fermi energy: 13.9 states/eV/f.u.

Cell lengths 3.465, 3.465, 24.735 Å; angles 90.00, 90.00, 90.00 degrees
Space group P4/mmm (No. 123)
Asymmetric unit:
Dy1 0.000 0.000 0.102 x2
Dy2 0.000 0.000 0.305 x2
Tm1 0.500 0.500 0.000 x1
Tm2 0.500 0.500 0.204 x2
Tm3 0.500 0.500 0.411 x2
Zr1 0.000 0.000 0.500 x1

Entry 3:
First-principles (PBE-GGA) data for ScZn2Co after structural relaxation, as listed in Alexandria via LeMat-Bulk.

Output
DFT formation energy: -0.030 eV/atom
Total energy: -4.026 eV/atom
DOS at the Fermi energy: 1.6 states/eV/f.u.

Cell lengths 5.182, 7.875, 2.968 Å; angles 90.00, 90.00, 90.00 degrees
Space group Cmmm (No. 65)
Asymmetric unit:
Sc1 0.000 0.000 0.000 x2
Zn1 0.250 0.250 0.500 x4
Co1 0.000 0.500 0.000 x2

Entry 4:
First-principles (PBE-GGA) data for CeZnCo after structural relaxation, as listed in Alexandria via LeMat-Bulk.

Output
DFT formation energy: -0.144 eV/atom
Total energy: -4.915 eV/atom
DOS at the Fermi energy: 5.0 states/eV/f.u.

Cell lengths 4.2778, 4.2778, 3.5422 Å; angles 90.00, 90.00, 120.00 degrees
Space group P-6m2 (No. 187)
Asymmetric unit:
Ce1 0.0000 0.0000 0.0000 x1
Zn1 0.3333 0.6667 0.5000 x1
Co1 0.6667 0.3333 0.5000 x1

Entry 5:
First-principles (PBE-GGA) data for KSb2Rh after structural relaxation, as listed in Alexandria via LeMat-Bulk.

Output
Energy above the lowest structure with this stoichiometry: 0.0000 eV/atom
Total energy: -4.576 eV/atom
Formation energy from raw total energies: -0.4025 eV/atom
DOS at the Fermi energy: 0.9 states/eV/f.u.

Cell lengths 4.3614, 4.3614, 21.1445 Å; angles 90.00, 90.00, 120.00 degrees
Space group R3m (No. 160, hexagonal axes)
Asymmetric unit:
K1 0.0000 0.0000 0.0000 x3
Sb1 0.0000 0.0000 0.2120 x3
Sb2 0.0000 0.0000 0.4521 x3
Rh1 0.0000 0.0000 0.8229 x3

Entry 6:
First-principles (PBE-GGA) data for MnP2W after structural relaxation, as listed in Alexandria via LeMat-Bulk.

Output
DFT formation energy: 0.022 eV/atom
Total energy: -8.214 eV/atom
DOS at the Fermi energy: 2.3 states/eV/f.u.

Cell lengths 3.012, 3.462, 5.104 Å; angles 90.00, 90.00, 90.00 degrees
Space group Pmmm (No. 47)
Asymmetric unit:
Mn1 0.000 0.000 0.000 x1
P1 0.000 0.500 0.261 x2
W1 0.500 0.000 0.500 x1

Entry 7:
First-principles (PBE-GGA) data for Y2NbTlRh after structural relaxation, as listed in Alexandria via LeMat-Bulk.

Output
DFT formation energy: 0.079 eV/atom
Total energy: -6.464 eV/atom
DOS at the Fermi energy: 5.9 states/eV/f.u.

Cell lengths 5.394, 5.394, 4.824 Å; angles 90.00, 90.00, 90.00 degrees
Space group P4/mmm (No. 123)
Asymmetric unit:
Y1 0.000 0.500 0.000 x2
Nb1 0.000 0.000 0.500 x1
Tl1 0.500 0.500 0.500 x1
Rh1 0.000 0.000 0.000 x1

Entry 8:
First-principles (PBE-GGA) data for BSb2TeI after structural relaxation, as listed in Alexandria via LeMat-Bulk.

Output
Energy above the lowest structure with this stoichiometry: 1.2053 eV/atom
Total energy: -2.000 eV/atom
Formation energy from raw total energies: 1.9229 eV/atom
DOS at the Fermi energy: 6.0 states/eV/f.u.

Cell lengths 5.847, 5.847, 5.808 Å; angles 90.00, 90.00, 90.00 degrees
Space group P4/mmm (No. 123)
Asymmetric unit:
B1 0.000 0.000 0.000 x1
Sb1 0.000 0.500 0.500 x2
Te1 0.500 0.500 0.000 x1
I1 0.500 0.500 0.500 x1